Entry 1:
The following is a DFT calculation (PBE-GGA) of crystalline KTcBrCl6 at its relaxed geometry.

Lattice parameters (Å, degrees): 6.401 7.663 7.871 109.84 103.70 110.73
Space group P1 (No. 1)
Inequivalent atoms, fractional coordinates:
K 0.000 0.000 0.000 [1 per cell]
Tc 0.354 0.349 0.698 [1 per cell]
Br 0.223 0.719 0.436 [1 per cell]
Cl 0.100 0.376 0.423 [1 per cell]
Cl 0.332 0.048 0.423 [1 per cell]
Cl 0.393 0.654 0.930 [1 per cell]
Cl 0.546 0.275 0.930 [1 per cell]
Cl 0.708 0.541 0.668 [1 per cell]
Cl 0.969 0.127 0.667 [1 per cell]

Properties
For the theoretical density, the calculation gives 2.30 g/cm³. The total energy comes out at -3.515 eV per atom. The calculation puts the formation energy from raw total energies at -716 kJ/mol of formula units.

---

Entry 2:
The following is a DFT calculation (PBE-GGA) of crystalline K2TcBr2Cl4 at its relaxed geometry.

Lattice parameters (Å, degrees): 12.521 7.206 7.370 90.00 124.57 90.00
Space group C2/m (No. 12)
Inequivalent atoms, fractional coordinates:
K 0.248 0.000 0.226 [4 per cell]
Tc 0.000 0.500 0.000 [2 per cell]
Br 0.242 0.500 0.302 [4 per cell]
Cl 0.033 0.267 0.808 [8 per cell]

Properties
For the theoretical density, the calculation gives 2.90 g/cm³. The total energy comes out at -3.820 eV per atom. The calculation puts the formation energy from raw total energies at -1069 kJ/mol of formula units.

---

Entry 3:
The following is a DFT calculation (PBE-GGA) of crystalline K2TeBr4Cl2 at its relaxed geometry.

Lattice parameters (Å, degrees): 13.168 7.687 7.724 90.00 125.88 90.00
Space group C2/m (No. 12)
Inequivalent atoms, fractional coordinates:
K 0.248 0.000 0.250 [4 per cell]
Te 0.000 0.000 0.500 [2 per cell]
Br 0.044 0.250 0.788 [8 per cell]
Cl 0.233 0.000 0.650 [4 per cell]

Properties
For the theoretical density, the calculation gives 3.13 g/cm³. The total energy comes out at -2.836 eV per atom. For the density of states at the Fermi level, the calculation gives 0.00 states/eV/atom. The calculation puts the formation energy from raw total energies at -946 kJ/mol of formula units.

---

Entry 4:
The following is a DFT calculation (PBE-GGA) of crystalline K2TeBr2Cl4 at its relaxed geometry.

Lattice parameters (Å, degrees): 13.060 7.419 7.626 90.00 124.23 90.00
Space group C2/m (No. 12)
Inequivalent atoms, fractional coordinates:
K 0.249 0.000 0.281 [4 per cell]
Te 0.000 0.000 0.500 [2 per cell]
Br 0.244 0.000 0.832 [4 per cell]
Cl 0.049 0.243 0.317 [8 per cell]

Properties
For the theoretical density, the calculation gives 2.76 g/cm³. The total energy comes out at -2.958 eV per atom. For the density of states at the Fermi level, the calculation gives 0.00 states/eV/atom. The calculation puts the formation energy from raw total energies at -1018 kJ/mol of formula units.

---

Entry 5:
The following is a DFT calculation (PBE-GGA) of crystalline KTeBrCl2 at its relaxed geometry.

Lattice parameters (Å, degrees): 5.523 5.523 5.882 90.00 90.00 90.00
Space group P4/mmm (No. 123)
Inequivalent atoms, fractional coordinates:
K 0.000 0.000 0.000 [1 per cell]
Te 0.500 0.500 0.500 [1 per cell]
Br 0.500 0.500 0.000 [1 per cell]
Cl 0.000 0.500 0.500 [2 per cell]

Properties
For the theoretical density, the calculation gives 2.94 g/cm³. The total energy comes out at -2.769 eV per atom. For the density of states at the Fermi level, the calculation gives 0.52 states/eV/atom. The calculation puts the formation energy from raw total energies at -409 kJ/mol of formula units.

---

Entry 6:
The following is a DFT calculation (PBE-GGA) of crystalline K2TeBrCl6 at its relaxed geometry.

Lattice parameters (Å, degrees): 7.105 7.270 7.488 90.37 99.53 105.89
Space group P1 (No. 1)
Inequivalent atoms, fractional coordinates:
K 0.000 0.000 0.000 [1 per cell]
K 0.182 0.471 0.567 [1 per cell]
Te 0.534 0.056 0.502 [1 per cell]
Br 0.054 0.541 0.000 [1 per cell]
Cl 0.252 0.047 0.680 [1 per cell]
Cl 0.302 0.797 0.267 [1 per cell]
Cl 0.425 0.306 0.311 [1 per cell]
Cl 0.620 0.787 0.689 [1 per cell]
Cl 0.776 0.301 0.744 [1 per cell]
Cl 0.822 0.093 0.335 [1 per cell]

Properties
For the theoretical density, the calculation gives 2.26 g/cm³. The total energy comes out at -2.860 eV per atom. For the density of states at the Fermi level, the calculation gives 0.10 states/eV/atom. The calculation puts the formation energy from raw total energies at -1015 kJ/mol of formula units.

---

Entry 7:
The following is a DFT calculation (PBE-GGA) of crystalline K6TeBr3Cl2 at its relaxed geometry.

Lattice parameters (Å, degrees): 8.359 14.399 7.989 90.00 110.49 90.00
Space group C2/m (No. 12)
Inequivalent atoms, fractional coordinates:
K 0.223 0.000 0.242 [4 per cell]
K 0.239 0.180 0.757 [8 per cell]
Te 0.000 0.500 0.000 [2 per cell]
Br 0.000 0.000 0.500 [2 per cell]
Br 0.000 0.341 0.500 [4 per cell]
Cl 0.000 0.167 0.000 [4 per cell]

Properties
For the theoretical density, the calculation gives 2.48 g/cm³. The total energy comes out at -3.103 eV per atom. For the density of states at the Fermi level, the calculation gives 0.35 states/eV/atom. The calculation puts the formation energy from raw total energies at -1814 kJ/mol of formula units.

---

Entry 8:
The following is a DFT calculation (PBE-GGA) of crystalline K2TiBr2Cl4 at its relaxed geometry.

Lattice parameters (Å, degrees): 7.164 7.164 10.425 90.00 90.00 90.00
Space group I4/mmm (No. 139)
Inequivalent atoms, fractional coordinates:
K 0.000 0.500 0.250 [4 per cell]
Ti 0.000 0.000 0.000 [2 per cell]
Br 0.000 0.000 0.245 [4 per cell]
Cl 0.232 0.232 0.000 [8 per cell]

Properties
For the theoretical density, the calculation gives 2.65 g/cm³. The total energy comes out at -3.976 eV per atom. For the density of states at the Fermi level, the calculation gives 0.00 states/eV/atom. The calculation puts the formation energy from raw total energies at -1444 kJ/mol of formula units.

---

Total magnetization in μB/f.u., matching the order above: 3.00 3.00 0.00 0.00 0.00 0.00 1.03 0.00